No. 1
A geometry-optimized TmNi2H structure. Source: the Alexandria database, functional PBE.

Values from the calculation:
DOS at the Fermi energy ... 0.516 states/eV/atom
Raw total energy ... -4.465 eV/atom

```
TmNi2H
1.0
-0.7198 -2.0439 -1.9992
2.1134 -1.5501 -1.3500
0.1518 -5.9814 3.8864
H Tm Ni
1 1 2
direct
0.5000 0.5000 0.5000
0.0000 0.0000 0.0000
0.8769 0.8769 0.3693
0.1231 0.1231 0.6307
```

=====

No. 2
A geometry-optimized Tm3Ni8H structure. Source: the Alexandria database, functional PBE.

Values from the calculation:
DOS at the Fermi energy ... 1.000 states/eV/atom
Raw total energy ... -5.617 eV/atom

```
Tm3Ni8H
1.0
4.7593 0.0000 1.4116
2.1703 4.2356 1.4116
0.0544 0.0333 8.5453
Ni Tm H
8 3 1
direct
0.5643 0.0531 0.3296
0.0531 0.5643 0.3296
0.5586 0.5586 0.8334
0.8052 0.8052 0.5843
0.0531 0.0531 0.3296
0.0493 0.5586 0.8334
0.5586 0.0493 0.8334
0.3070 0.3070 0.0789
0.6170 0.6170 0.1489
0.4849 0.4849 0.5454
0.0100 0.0100 0.9699
0.1888 0.1888 0.4336
```

=====

No. 3
A geometry-optimized TmNi6H12 structure. Source: the Alexandria database, functional PBE.

Values from the calculation:
DOS at the Fermi energy ... 0.283 states/eV/atom
Raw total energy ... -4.216 eV/atom

```
TmNi6H12
1.0
-4.4455 0.0075 -2.8732
1.1286 -5.0820 0.9578
-1.2619 2.1372 4.6752
H Tm Ni
12 1 6
direct
0.5000 0.1307 0.8693
0.4472 0.1958 0.4472
0.4472 0.4472 0.1958
0.8693 0.5000 0.1307
0.8693 0.1307 0.5000
0.1307 0.8693 0.5000
0.5528 0.8042 0.5528
0.1307 0.5000 0.8693
0.8042 0.5528 0.5528
0.5000 0.8693 0.1307
0.1958 0.4472 0.4472
0.5528 0.5528 0.8042
0.0000 0.0000 0.0000
0.7740 0.3767 0.7740
0.2260 0.6233 0.2260
0.7740 0.7740 0.3767
0.2260 0.2260 0.6233
0.6233 0.2260 0.2260
0.3767 0.7740 0.7740
```

=====

No. 4
A geometry-optimized TmZnNi2H structure. Source: the Alexandria database, functional PBE.

Values from the calculation:
DOS at the Fermi energy ... 0.554 states/eV/atom
Raw total energy ... -4.511 eV/atom

```
TmZnNi2H
1.0
-1.2542 1.0929 3.2815
3.9177 -3.6214 0.6411
4.7431 5.1484 0.0981
Zn H Tm Ni
2 2 2 4
direct
0.7274 0.4548 0.7500
0.2726 0.5452 0.2500
0.0000 0.0000 0.0000
0.0000 0.0000 0.5000
0.5534 0.1068 0.2500
0.4466 0.8932 0.7500
0.8450 0.6900 0.4452
0.1550 0.3100 0.9452
0.8450 0.6900 0.0548
0.1550 0.3100 0.5548
```

=====

No. 5
A geometry-optimized UNi5H7 structure. Source: the Alexandria database, functional PBE.

Values from the calculation:
DOS at the Fermi energy ... 0.894 states/eV/atom
Raw total energy ... -4.804 eV/atom

```
UNi5H7
1.0
-0.7651 -3.3898 3.5552
3.9519 -0.9983 3.3745
-2.6731 1.4866 4.3181
Ni H U
5 7 1
direct
0.3891 0.5403 0.1960
0.8746 0.1960 0.5403
0.8746 0.5403 0.1960
0.7957 0.7043 0.7043
0.3891 0.1960 0.5403
0.4918 0.5082 0.5082
0.9547 0.7514 0.3392
0.5809 0.0763 0.7619
0.5809 0.7619 0.0763
0.9547 0.3392 0.7514
0.2176 0.2824 0.2824
0.7668 0.2332 0.2332
0.1294 0.8706 0.8706
```

=====

No. 6
A geometry-optimized UNi3H3 structure. Source: the Alexandria database, functional PBE.

Values from the calculation:
DOS at the Fermi energy ... 0.716 states/eV/atom
Raw total energy ... -5.592 eV/atom

```
UNi3H3
1.0
-1.7399 3.1652 3.4182
3.6842 -0.4223 5.8831
2.6916 4.1334 1.1596
H U Ni
6 2 6
direct
0.8122 0.5860 0.2432
0.1878 0.4140 0.7568
0.3586 0.5860 0.2432
0.3036 0.6060 0.7868
0.6964 0.3940 0.2132
0.6414 0.4140 0.7568
0.7694 0.6898 0.7714
0.2306 0.3102 0.2286
0.7220 0.8346 0.2217
0.2181 0.8641 0.6997
0.2780 0.1654 0.7783
0.7783 0.1654 0.7783
0.7819 0.1359 0.3003
0.2217 0.8346 0.2217
```

=====

No. 7
A geometry-optimized UNi2H structure. Source: the Alexandria database, functional PBE.

Values from the calculation:
DOS at the Fermi energy ... 1.380 states/eV/atom
Raw total energy ... -6.262 eV/atom
Polymorph energy (0 for the lowest one) ... 353 meV/atom

```
UNi2H
1.0
-0.2515 2.4927 -1.1526
0.6202 0.3566 -2.6634
-6.5529 -0.5344 -3.0252
Ni U H
2 1 1
direct
0.8828 0.8828 0.3517
0.1172 0.1172 0.6483
0.0000 0.0000 0.0000
0.5000 0.5000 0.5000
```

=====

No. 8
A geometry-optimized U2Ni2H7 structure. Source: the Alexandria database, functional PBE.

Values from the calculation:
DOS at the Fermi energy ... 0.761 states/eV/atom
Raw total energy ... -5.265 eV/atom

```
U2Ni2H7
1.0
-0.6762 -2.4187 2.7796
4.6527 0.5103 2.4363
-3.6847 2.8672 2.4589
U H Ni
2 7 2
direct
0.5000 0.2389 0.7611
0.5000 0.7611 0.2389
0.0000 0.0000 0.0000
0.1009 0.9618 0.6266
0.8991 0.3734 0.0382
0.7108 0.5426 0.5426
0.8991 0.0382 0.3734
0.2892 0.4574 0.4574
0.1009 0.6266 0.9618
0.0247 0.2781 0.2781
0.9753 0.7219 0.7219
```

=====

No. 9
A geometry-optimized UNi2H4 structure. Source: the Alexandria database, functional PBE.

Values from the calculation:
DOS at the Fermi energy ... 0.977 states/eV/atom
Raw total energy ... -5.354 eV/atom

```
UNi2H4
1.0
4.3074 -0.1310 0.7518
1.5729 3.2818 0.7879
-0.8903 -0.4968 3.8612
H U Ni
4 1 2
direct
0.2924 0.8536 0.5135
0.7076 0.1464 0.4865
0.6517 0.6742 0.0284
0.3483 0.3258 0.9716
0.0000 0.0000 0.0000
0.7036 0.6483 0.4452
0.2964 0.3518 0.5548
```

=====

No. 10
A geometry-optimized UNi4H4 structure. Source: the Alexandria database, functional PBE.

Values from the calculation:
DOS at the Fermi energy ... 0.803 states/eV/atom
Raw total energy ... -5.326 eV/atom

```
UNi4H4
1.0
-0.6941 3.9928 -2.4451
-4.6816 -0.5631 0.4095
0.0833 3.7857 6.1584
H Ni U
8 8 2
direct
0.7775 0.5000 0.2276
0.0000 0.7225 0.7276
0.2775 0.0000 0.2724
0.5000 0.7775 0.7724
0.2225 0.5000 0.2276
0.5000 0.2225 0.7724
0.0000 0.2775 0.7276
0.7225 0.0000 0.2724
0.7526 0.0000 0.6403
0.0000 0.2474 0.3597
0.2474 0.0000 0.6403
0.7474 0.5000 0.8597
0.0000 0.7526 0.3597
0.5000 0.7474 0.1403
0.2526 0.5000 0.8597
0.5000 0.2526 0.1403
0.0000 0.0000 0.0000
0.5000 0.5000 0.5000
```

=====

no.,magnetization (μB/f.u.)
1,0.00
2,0.00
3,0.00
4,0.00
5,1.92
6,0.32
7,0.00
8,5.52
9,1.21
10,1.03